Below is a geometry-optimized Ba2RhCl structure, with properties calculated at the PBEsol level.

Results
- raw formation energy (eV per formula unit) = -3.74
- size of the total moment (μB per cell) = 0.00
- symmetry = P4/mmm

Structure (POSCAR):
```
Ba2RhCl
1.0
3.7211 0.0000 0.0280
0.0000 3.7197 0.0000
-0.0567 0.0000 8.0349
Rh Ba Cl
1 2 1
Direct
0.5000 0.5000 0.0000 Rh
0.0001 0.0000 0.2259 Ba
0.9999 0.0000 0.7741 Ba
0.5000 0.5000 0.5000 Cl
```

***

Below is a geometry-optimized Ba3RuCl structure, with properties calculated at the PBEsol level.

Results
- raw formation energy (eV per formula unit) = -1.03
- size of the total moment (μB per cell) = 0.00
- symmetry = Pm-3m

Structure (POSCAR):
```
Ba3RuCl
1.0
-3.5617 1.3981 -4.3933
2.9972 -3.5164 -3.5488
-3.5033 -4.4297 1.4305
Ru Ba Cl
1 3 1
Direct
0.0000 0.0000 0.0000 Ru
0.0000 0.5000 0.0000 Ba
0.0000 0.0000 0.5000 Ba
0.5000 0.0000 0.0000 Ba
0.5000 0.5000 0.5000 Cl
```

***

Below is a geometry-optimized BaRu2Cl structure, with properties calculated at the PBEsol level.

Results
- raw formation energy (eV per formula unit) = 3.22
- size of the total moment (μB per cell) = 1.03
- symmetry = F-43m

Structure (POSCAR):
```
BaRu2Cl
1.0
-2.4428 1.4160 -3.8652
-3.1557 -2.9564 -2.0526
-4.6894 0.9014 0.3301
Ru Ba Cl
2 1 1
Direct
0.0000 0.0000 0.0000 Ru
0.7500 0.7500 0.7500 Ru
0.5000 0.5000 0.5000 Ba
0.2500 0.2500 0.2500 Cl
```

***

Below is a geometry-optimized BaRuSeCl2 structure, with properties calculated at the PBEsol level.

Results
- raw formation energy (eV per formula unit) = 3.12
- size of the total moment (μB per cell) = 4.15
- symmetry = P4/mmm

Structure (POSCAR):
```
BaRuSeCl2
1.0
-1.7012 -3.5753 3.9292
4.2868 1.5128 3.2326
-3.8450 4.9087 2.8018
Ru Ba Se Cl
1 1 1 2
Direct
0.0000 0.0000 0.5000 Ru
0.0000 0.0000 0.0000 Ba
0.5000 0.5000 0.5000 Se
0.0000 0.5000 0.0000 Cl
0.5000 0.0000 0.0000 Cl
```

***

Below is a geometry-optimized Ba2SbCl structure, with properties calculated at the PBEsol level.

Results
- raw formation energy (eV per formula unit) = -6.07
- size of the total moment (μB per cell) = 0.00
- symmetry = Pmmm

Structure (POSCAR):
```
Ba2SbCl
1.0
4.2086 0.0000 0.0000
0.0000 4.4079 0.0872
0.0000 -0.1677 8.3638
Sb Ba Cl
1 2 1
Direct
0.5000 0.5000 0.0000 Sb
0.0000 0.9999 0.7856 Ba
0.0000 0.0001 0.2144 Ba
0.5000 0.0000 0.5000 Cl
```

***

Below is a geometry-optimized Ba2SbCl structure, with properties calculated at the PBEsol level.

Results
- raw formation energy (eV per formula unit) = -6.18
- size of the total moment (μB per cell) = 0.00
- symmetry = Pmm2

Structure (POSCAR):
```
Ba2SbCl
1.0
4.8190 0.0000 0.0000
0.0000 4.8267 0.0000
0.0000 0.0000 6.6773
Sb Ba Cl
1 2 1
Direct
0.8707 0.5000 0.5000 Sb
0.8822 0.5000 0.0000 Ba
0.3727 0.0000 0.5000 Ba
0.3744 0.0000 0.0000 Cl
```

***

Which of these has the highest raw formation energy? BaRu2Cl